No. 1
Compound: Li3MnFe
Source: the Alexandria database
Functional: PBEsol
Structure: optimized geometry

Cell: 4.4946 4.4946 4.4946 Å, 90.00 90.00 90.00°
Closest atoms and distances in Å follow each position.
Space group Pm-3m (No. 221)
Asymmetric unit:
1 Li 0.0000 0.0000 0.5000  2 Fe 2.25
2 Mn 0.5000 0.5000 0.5000  12 Li 3.18
3 Fe 0.0000 0.0000 0.0000  6 Li 2.25

Calculated values
Its total energy is -3.76 eV/atom. The calculation puts the calculated volume at 90.8 Å³ per cell. As for the crystal system: cubic. The calculation puts the density of states at the Fermi level at 5.67 states/eV/f.u. For the magnetization, the calculation gives 6.76 μB/cell.

---

No. 2
Compound: CaTcRh
Source: the Alexandria database
Functional: PBEsol
Structure: optimized geometry

Cell: 6.2032 6.2032 6.2032 Å, 90.00 90.00 90.00°
Closest atoms and distances in Å follow each position.
Space group F-43m (No. 216)
Asymmetric unit:
1 Ca 0.0000 0.0000 0.0000  4 Tc 2.69, 4 Rh 2.69
2 Tc 0.2500 0.2500 0.2500  4 Ca 2.69
3 Rh 0.2500 0.2500 0.7500  4 Ca 2.69

Calculated values
Its total energy is -5.63 eV/atom. The calculation puts the calculated volume at 238.7 Å³ per cell. As for the crystal system: cubic. The calculation puts the density of states at the Fermi level at 1.78 states/eV/f.u. For the magnetization, the calculation gives 11.91 μB/cell.

---

No. 3
Compound: CdIn
Source: the Alexandria database
Functional: PBEsol
Structure: optimized geometry

Cell: 4.5575 4.5575 5.6002 Å, 90.00 90.00 120.00°
Closest atoms and distances in Å follow each position.
Space group P6_3/mmc (No. 194)
Asymmetric unit:
1 Cd 0.0000 0.0000 0.0000  2 Cd 2.80, 6 In 2.98
2 In 0.3333 0.6667 0.2500  6 Cd 2.98

Calculated values
Its total energy is -2.01 eV/atom. The calculation puts the calculated volume at 100.7 Å³ per cell. As for the crystal system: hexagonal. The calculation puts the density of states at the Fermi level at 0.72 states/eV/f.u. For the magnetization, the calculation gives 0.00 μB/cell.

---

- The highest density of states at the Fermi level belongs to which entry?
  Li3MnFe